# BaHfO3

A geometry-optimized BaHfO3 structure (PBE, the Alexandria database).

Spin magnetization in Bohr magnetons per cell: 0.00
Electronic total energy in eV/atom: -8.42
Space-group type: Fd-3m, No. 227

a b c (Å): 7.755 7.755 7.755
angles (deg): 60.00 60.00 60.00
Sites, in units of the cell vectors:
Ba 0.000 0.000 0.000
Ba 0.000 0.000 0.500
Ba 0.000 0.500 0.000
Ba 0.500 0.000 0.000
Hf 0.000 0.500 0.500
Hf 0.500 0.000 0.500
Hf 0.500 0.500 0.000
Hf 0.500 0.500 0.500
O 0.175 0.175 0.575
O 0.175 0.575 0.175
O 0.175 0.575 0.575
O 0.425 0.425 0.825
O 0.425 0.825 0.425
O 0.425 0.825 0.825
O 0.575 0.175 0.175
O 0.575 0.175 0.575
O 0.575 0.575 0.175
O 0.825 0.425 0.425
O 0.825 0.425 0.825
O 0.825 0.825 0.425


# Ba2HfO

A geometry-optimized Ba2HfO structure (PBE, the Alexandria database).

Spin magnetization in Bohr magnetons per cell: 0.00
Electronic total energy in eV/atom: -5.72
Space-group type: P1, No. 1

a b c (Å): 5.041 6.431 9.630
angles (deg): 76.74 89.81 67.00
Sites, in units of the cell vectors:
Ba 0.000 0.000 0.000
Ba 0.020 0.970 0.392
Ba 0.336 0.346 0.540
Ba 0.693 0.627 0.810
Hf 0.337 0.337 0.150
Hf 0.698 0.620 0.217
O 0.457 0.600 0.058
O 0.524 0.976 0.189


# BaHfO3

A geometry-optimized BaHfO3 structure (PBE, the Alexandria database).

Spin magnetization in Bohr magnetons per cell: 0.00
Electronic total energy in eV/atom: -8.56
Space-group type: C2/m, No. 12

a b c (Å): 6.091 6.091 7.266
angles (deg): 96.77 96.77 38.73
Sites, in units of the cell vectors:
Ba 0.123 0.123 0.371
Ba 0.877 0.877 0.629
Hf 0.369 0.369 0.084
Hf 0.631 0.631 0.916
O 0.175 0.175 0.973
O 0.344 0.344 0.353
O 0.452 0.452 0.833
O 0.548 0.548 0.167
O 0.656 0.656 0.647
O 0.825 0.825 0.027


# Ba3HfO

A geometry-optimized Ba3HfO structure (PBE, the Alexandria database).

Distance to the lowest polymorph of the same formula in eV/f.u.: 0.00
Spin magnetization in Bohr magnetons per cell: 2.93
Space-group type: Pm-3m, No. 221

a b c (Å): 5.557 5.557 5.557
angles (deg): 90.00 90.00 90.00
Sites, in units of the cell vectors:
Ba 0.000 0.000 0.500
Ba 0.000 0.500 0.000
Ba 0.500 0.000 0.000
Hf 0.500 0.500 0.500
O 0.000 0.000 0.000


# BaHfO3

A geometry-optimized BaHfO3 structure (PBE, the Alexandria database).

Spin magnetization in Bohr magnetons per cell: 0.00
Electronic total energy in eV/atom: -8.55
Space-group type: P2_1/c, No. 14

a b c (Å): 7.216 5.639 7.764
angles (deg): 90.00 97.41 90.00
Sites, in units of the cell vectors:
Ba 0.124 0.234 0.174
Ba 0.124 0.266 0.674
Ba 0.876 0.734 0.326
Ba 0.876 0.766 0.826
Hf 0.412 0.744 0.569
Hf 0.412 0.756 0.069
Hf 0.588 0.244 0.931
Hf 0.588 0.256 0.431
O 0.145 0.688 0.095
O 0.145 0.812 0.595
O 0.327 0.069 0.947
O 0.327 0.431 0.447
O 0.448 0.573 0.833
O 0.448 0.927 0.333
O 0.552 0.073 0.667
O 0.552 0.427 0.167
O 0.673 0.569 0.553
O 0.673 0.931 0.053
O 0.855 0.188 0.405
O 0.855 0.312 0.905


# Ba6HfO8

A geometry-optimized Ba6HfO8 structure (PBE, the Alexandria database).

Spin magnetization in Bohr magnetons per cell: 0.00
Electronic total energy in eV/atom: -6.80
Space-group type: Fm-3m, No. 225

a b c (Å): 7.696 7.696 7.696
angles (deg): 60.00 60.00 60.00
Sites, in units of the cell vectors:
Ba 0.000 0.000 0.500
Ba 0.000 0.500 0.000
Ba 0.000 0.500 0.500
Ba 0.500 0.000 0.000
Ba 0.500 0.000 0.500
Ba 0.500 0.500 0.000
Hf 0.000 0.000 0.000
O 0.199 0.199 0.801
O 0.199 0.801 0.199
O 0.199 0.801 0.801
O 0.250 0.250 0.250
O 0.750 0.750 0.750
O 0.801 0.199 0.199
O 0.801 0.199 0.801
O 0.801 0.801 0.199


# BaHfO3

A geometry-optimized BaHfO3 structure (PBE, the Alexandria database).

Spin magnetization in Bohr magnetons per cell: 0.00
Electronic total energy in eV/atom: -8.72
Space-group type: Pm-3m, No. 221

a b c (Å): 4.203 4.203 4.203
angles (deg): 90.00 90.00 90.00
Sites, in units of the cell vectors:
Ba 0.000 0.000 0.000
Hf 0.500 0.500 0.500
O 0.000 0.500 0.500
O 0.500 0.000 0.500
O 0.500 0.500 0.000


# Ba2HfO

A geometry-optimized Ba2HfO structure (PBE, the Alexandria database).

Spin magnetization in Bohr magnetons per cell: 0.01
Electronic total energy in eV/atom: -5.74
Space-group type: Ima2, No. 46

a b c (Å): 6.746 9.705 9.061
angles (deg): 90.00 90.00 90.00
Sites, in units of the cell vectors:
Ba 0.250 0.163 0.000
Ba 0.250 0.337 0.500
Ba 0.250 0.671 0.181
Ba 0.250 0.829 0.681
Ba 0.750 0.171 0.681
Ba 0.750 0.329 0.181
Ba 0.750 0.663 0.500
Ba 0.750 0.837 0.000
Hf 0.000 0.000 0.349
Hf 0.000 0.500 0.849
Hf 0.500 0.000 0.349
Hf 0.500 0.500 0.849
O 0.250 0.611 0.879
O 0.250 0.889 0.379
O 0.750 0.111 0.379
O 0.750 0.389 0.879